# 1
! AlCoGe2Te PBE optimized geometry; values from VASP
! * spin magnetization: 1.30 μB per cell
! * E_form (uncorrected): 1093 meV/atom
! * DOS at the Fermi energy: 5.4 states/eV/f.u.
! * final energy: -3.552 eV/atom
&SYSTEM
  ibrav = 0, nat = 5, ntyp = 4
/
ATOMIC_SPECIES
Co 58.93 Co.upf
Ge 72.64 Ge.upf
Te 127.60 Te.upf
Al 26.98 Al.upf
ATOMIC_POSITIONS angstrom
Co 0.541 -1.251 1.845
Ge -2.184 -1.624 -0.460
Ge -1.557 1.648 1.574
Te 0.000 0.000 0.000
Al -3.200 -1.227 2.959
CELL_PARAMETERS angstrom
-4.368 -3.248 -0.921
1.082 -2.502 3.690
-3.115 3.296 3.148


# 2
! KNa2TeCl PBE optimized geometry; values from VASP
! * spin magnetization: 0.00 μB per cell
! * E_form (uncorrected): -1159 meV/atom
! * final energy: -2.904 eV/atom
&SYSTEM
  ibrav = 0, nat = 5, ntyp = 4
/
ATOMIC_SPECIES
Na 22.99 Na.upf
K 39.10 K.upf
Cl 35.45 Cl.upf
Te 127.60 Te.upf
ATOMIC_POSITIONS angstrom
Na 1.432 -1.654 -1.479
Na -1.331 -2.049 1.003
K 1.933 -0.220 2.117
Cl 0.000 0.000 0.000
Te 2.034 -3.922 1.640
CELL_PARAMETERS angstrom
-2.662 -4.097 2.006
2.863 -3.309 -2.958
3.867 -0.439 4.233


# 3
! Ta2AsPb PBE optimized geometry; values from VASP
! * spin magnetization: 0.00 μB per cell
! * ΔE_f: 0.18 eV per atom
! * DOS at the Fermi energy: 2.5 states/eV/f.u.
! * polymorph energy (0 for the lowest one): 81 kJ/mol of formula units
! * final energy: -7.837 eV/atom
&SYSTEM
  ibrav = 0, nat = 4, ntyp = 3
/
ATOMIC_SPECIES
Pb 207.20 Pb.upf
As 74.92 As.upf
Ta 180.95 Ta.upf
ATOMIC_POSITIONS angstrom
Pb 1.473 1.473 8.305
As 0.000 0.000 4.537
Ta 0.000 0.000 0.328
Ta 1.473 1.473 2.568
CELL_PARAMETERS angstrom
2.945 0.000 0.000
0.000 2.945 0.000
0.000 0.000 10.491


# 4
! PmTmRu2 PBE optimized geometry; values from VASP
! * spin magnetization: 0.00 μB per cell
! * ΔE_f: -0.25 eV per atom
! * DOS at the Fermi energy: 4.0 states/eV/f.u.
! * polymorph energy (0 for the lowest one): 2 kJ/mol of formula units
! * final energy: -7.198 eV/atom
&SYSTEM
  ibrav = 0, nat = 4, ntyp = 3
/
ATOMIC_SPECIES
Tm 168.93 Tm.upf
Ru 101.07 Ru.upf
Pm 145.00 Pm.upf
ATOMIC_POSITIONS angstrom
Tm 0.000 0.000 0.000
Ru 7.255 4.189 2.962
Ru 2.418 1.396 0.987
Pm 4.837 2.792 1.975
CELL_PARAMETERS angstrom
4.837 0.000 0.000
2.418 4.189 0.000
2.418 1.396 3.949


# 5
! Mg2Zr2Ag3 PBE optimized geometry; values from VASP
! * spin magnetization: 1.70 μB per cell
! * ΔE_f: 0.05 eV per atom
! * DOS at the Fermi energy: 4.5 states/eV/f.u.
! * final energy: -4.071 eV/atom
&SYSTEM
  ibrav = 0, nat = 7, ntyp = 3
/
ATOMIC_SPECIES
Zr 91.22 Zr.upf
Ag 107.87 Ag.upf
Mg 24.30 Mg.upf
ATOMIC_POSITIONS angstrom
Zr 1.149 3.414 4.144
Zr 0.821 0.498 2.922
Ag 1.597 0.972 5.733
Ag 0.373 2.939 1.333
Ag 0.000 0.000 0.000
Mg -0.494 2.416 6.859
Mg 2.464 1.495 0.206
CELL_PARAMETERS angstrom
4.465 -0.002 -1.248
-2.408 3.965 -0.002
-0.087 -0.052 8.315


# 6
! Ba3SrPd2 PBE optimized geometry; values from VASP
! * spin magnetization: 0.00 μB per cell
! * ΔE_f: -0.43 eV per atom
! * DOS at the Fermi energy: 2.1 states/eV/f.u.
! * final energy: -3.400 eV/atom
&SYSTEM
  ibrav = 0, nat = 12, ntyp = 3
/
ATOMIC_SPECIES
Ba 137.33 Ba.upf
Pd 106.42 Pd.upf
Sr 87.62 Sr.upf
ATOMIC_POSITIONS angstrom
Ba 0.496 -2.808 -2.854
Ba 6.202 -7.254 2.522
Ba 7.265 -12.975 -2.691
Ba 4.347 -10.690 -5.544
Ba 3.413 -5.093 -0.001
Ba 1.559 -8.529 -8.067
Pd 4.257 -7.713 -6.622
Pd 5.414 -11.993 -0.345
Pd 2.346 -3.790 -5.200
Pd 3.503 -8.071 1.077
Sr 5.322 -9.034 -1.250
Sr 2.438 -6.750 -4.295
CELL_PARAMETERS angstrom
-2.568 -3.815 -0.429
2.677 -3.572 -9.114
7.652 -8.396 3.998


# 7
! Ac2PrGa2Pd7 PBE optimized geometry; values from VASP
! * spin magnetization: 0.00 μB per cell
! * ΔE_f: -0.79 eV per atom
! * DOS at the Fermi energy: 3.7 states/eV/f.u.
! * final energy: -5.402 eV/atom
&SYSTEM
  ibrav = 0, nat = 12, ntyp = 4
/
ATOMIC_SPECIES
Pd 106.42 Pd.upf
Ga 69.72 Ga.upf
Ac 227.00 Ac.upf
Pr 140.91 Pr.upf
ATOMIC_POSITIONS angstrom
Pd 2.376 2.373 5.892
Pd 3.808 1.686 11.871
Pd 2.140 2.137 -0.112
Pd 2.210 4.325 1.971
Pd 1.690 3.806 11.871
Pd 4.328 2.204 1.971
Pd 3.642 3.638 7.950
Ga 3.780 3.775 10.479
Ga 2.238 2.235 3.363
Ac 1.561 1.559 9.035
Ac 4.457 4.452 4.807
Pr 0.000 0.000 0.000
CELL_PARAMETERS angstrom
4.255 0.019 -0.112
0.024 4.255 -0.112
1.739 1.736 14.066


# 8
! NbPd3Br PBE optimized geometry; values from VASP
! * spin magnetization: 0.00 μB per cell
! * E_form (uncorrected): 895 meV/atom
! * DOS at the Fermi energy: 3.9 states/eV/f.u.
! * polymorph energy (0 for the lowest one): 0 kJ/mol of formula units
! * final energy: -4.569 eV/atom
&SYSTEM
  ibrav = 0, nat = 5, ntyp = 3
/
ATOMIC_SPECIES
Pd 106.42 Pd.upf
Nb 92.91 Nb.upf
Br 79.90 Br.upf
ATOMIC_POSITIONS angstrom
Pd -1.585 -1.278 1.383
Pd 1.319 -2.044 -0.377
Pd -1.344 -0.499 -2.001
Nb 0.000 0.000 0.000
Br -1.610 -3.821 -0.994
CELL_PARAMETERS angstrom
-2.689 -0.998 -4.001
2.639 -4.087 -0.754
-3.169 -2.556 2.767


# 9
! GdHfCuRe PBE optimized geometry; values from VASP
! * spin magnetization: 7.24 μB per cell
! * ΔE_f: -0.06 eV per atom
! * DOS at the Fermi energy: 2.3 states/eV/f.u.
! * final energy: -10.202 eV/atom
&SYSTEM
  ibrav = 0, nat = 4, ntyp = 4
/
ATOMIC_SPECIES
Hf 178.49 Hf.upf
Re 186.21 Re.upf
Gd 157.25 Gd.upf
Cu 63.55 Cu.upf
ATOMIC_POSITIONS angstrom
Hf -0.082 -5.635 1.446
Re -0.123 -8.453 2.169
Gd 0.000 0.000 0.000
Cu -0.041 -2.818 0.723
CELL_PARAMETERS angstrom
-1.677 -4.284 -1.183
2.672 -3.868 0.683
-1.158 -3.117 3.393


# 10
! RbAgHg2Sb PBE optimized geometry; values from VASP
! * spin magnetization: 2.81 μB per cell
! * E_form (uncorrected): 748 meV/atom
! * DOS at the Fermi energy: 1.8 states/eV/f.u.
! * polymorph energy (0 for the lowest one): 365 kJ/mol of formula units
! * final energy: -0.961 eV/atom
&SYSTEM
  ibrav = 0, nat = 5, ntyp = 4
/
ATOMIC_SPECIES
Rb 85.47 Rb.upf
Hg 200.59 Hg.upf
Ag 107.87 Ag.upf
Sb 121.76 Sb.upf
ATOMIC_POSITIONS angstrom
Rb 0.000 0.000 0.000
Hg 0.000 0.000 3.449
Hg 3.449 0.000 0.000
Ag 0.000 3.188 0.000
Sb 3.449 3.188 3.449
CELL_PARAMETERS angstrom
6.899 0.000 0.000
0.000 6.376 0.000
0.000 0.000 6.899


# 11
! AlIrRu PBE optimized geometry; values from VASP
! * spin magnetization: 0.00 μB per cell
! * ΔE_f: -0.30 eV per atom
! * DOS at the Fermi energy: 3.3 states/eV/f.u.
! * polymorph energy (0 for the lowest one): 24 kJ/mol of formula units
! * final energy: -7.595 eV/atom
&SYSTEM
  ibrav = 0, nat = 3, ntyp = 3
/
ATOMIC_SPECIES
Al 26.98 Al.upf
Ir 192.22 Ir.upf
Ru 101.07 Ru.upf
ATOMIC_POSITIONS angstrom
Al 0.000 0.000 0.000
Ir 4.669 2.706 0.000
Ru 2.368 1.372 0.000
CELL_PARAMETERS angstrom
4.690 0.020 -0.007
2.348 4.060 0.007
-3.185 -2.616 2.238


# 12
! PmNd12Sc7 PBE optimized geometry; values from VASP
! * spin magnetization: 0.00 μB per cell
! * ΔE_f: 0.15 eV per atom
! * DOS at the Fermi energy: 37.3 states/eV/f.u.
! * final energy: -5.160 eV/atom
&SYSTEM
  ibrav = 0, nat = 20, ntyp = 3
/
ATOMIC_SPECIES
Nd 144.24 Nd.upf
Sc 44.96 Sc.upf
Pm 145.00 Pm.upf
ATOMIC_POSITIONS angstrom
Nd 5.110 3.901 4.317
Nd 1.444 3.341 0.336
Nd 2.807 -0.582 2.266
Nd 2.710 5.733 2.263
Nd 2.327 1.676 7.194
Nd 4.753 0.472 4.745
Nd -0.983 4.545 2.785
Nd 4.639 2.447 1.367
Nd -1.340 1.115 3.212
Nd -0.869 2.570 6.162
Nd 1.060 -0.716 5.267
Nd 0.963 5.599 5.263
Sc 4.692 -0.989 7.716
Sc 5.901 6.593 2.059
Sc 6.024 -0.474 0.652
Sc 1.885 2.508 3.765
Sc -0.922 6.005 -0.186
Sc -2.254 5.490 6.877
Sc -2.131 -1.576 5.470
Pm 0.000 0.000 0.000
CELL_PARAMETERS angstrom
9.208 -0.165 -0.248
-2.719 8.799 -0.248
-2.719 -3.618 8.025


Copy entry 7 word for word.
! Ac2PrGa2Pd7 PBE optimized geometry; values from VASP
! * spin magnetization: 0.00 μB per cell
! * ΔE_f: -0.79 eV per atom
! * DOS at the Fermi energy: 3.7 states/eV/f.u.
! * final energy: -5.402 eV/atom
&SYSTEM
  ibrav = 0, nat = 12, ntyp = 4
/
ATOMIC_SPECIES
Pd 106.42 Pd.upf
Ga 69.72 Ga.upf
Ac 227.00 Ac.upf
Pr 140.91 Pr.upf
ATOMIC_POSITIONS angstrom
Pd 2.376 2.373 5.892
Pd 3.808 1.686 11.871
Pd 2.140 2.137 -0.112
Pd 2.210 4.325 1.971
Pd 1.690 3.806 11.871
Pd 4.328 2.204 1.971
Pd 3.642 3.638 7.950
Ga 3.780 3.775 10.479
Ga 2.238 2.235 3.363
Ac 1.561 1.559 9.035
Ac 4.457 4.452 4.807
Pr 0.000 0.000 0.000
CELL_PARAMETERS angstrom
4.255 0.019 -0.112
0.024 4.255 -0.112
1.739 1.736 14.066


> Among the records above, which one has the highest final energy?

RbAgHg2Sb


> What is the final energy in the tenth record?

-0.961 eV/atom